<i>
La2Pr2Sc: optimized geometry, PBE.

The value obtained for the magnetization is 0.000 μB/atom. The value obtained for the density of states at the Fermi level is 1.405 states/eV/atom.

It has space group C2/c (No. 15), with a = 9.766 Å, b = 8.095 Å, c = 9.437 Å, α = 90.00°, β = 115.34° and γ = 90.00°. Symmetry generates all atoms from La at (0.122, 0.161, 0.149), Pr at (0.160, 0.443, 0.480) and Sc at (0.000, 0.218, 0.750).

---

<ii>
La2Pr2Sc: optimized geometry, PBE.

The value obtained for the magnetization is 0.000 μB/atom. The value obtained for the density of states at the Fermi level is 1.229 states/eV/atom.

It has space group Cmcm (No. 63), with a = 7.907 Å, b = 13.746 Å, c = 6.488 Å, α = 90.00°, β = 90.00° and γ = 90.00°. Symmetry generates all atoms from La at (0.206, 0.099, 0.250), Pr at (0.000, 0.168, 0.750), Pr at (0.000, 0.305, 0.250) and Sc at (0.000, 0.500, 0.000).

---

Computed relative energies in units of kJ/mol of atoms: <i> 0.0; <ii> 7.9